Entry 1:
4
Lattice="-0.6193 1.5582 2.4819 -0.5123 -4.7720 2.8682 5.6306 1.7637 -1.5096" Properties=species:S:1:pos:R:3 comment="meta-GGA SCAN KCr2Hg, single point on PBEsol structure" dos_ef_per_ev_cell=1.356 ef_mev_per_atom=539 vol_a3_per_fu=87 spacegroup=Imm2 pbc="T T T"
Cr 2.5438 -2.2994 2.0783
Hg -0.1671 -1.5946 2.7667
K 2.1463 0.8551 1.8061
Cr 3.9093 -1.4684 3.7047

---

Entry 2:
4
Lattice="5.1327 0.0000 0.0000 2.5664 4.4451 0.0000 2.5664 1.4817 4.1908" Properties=species:S:1:pos:R:3 comment="meta-GGA SCAN KCr2Hg, single point on PBEsol structure" dos_ef_per_ev_cell=2.108 ef_mev_per_atom=695 vol_a3_per_fu=96 spacegroup=F-43m pbc="T T T"
Cr 0.0000 0.0000 0.0000
K 2.5664 1.4817 1.0477
Hg 5.1327 2.9634 2.0954
Cr 7.6991 4.4451 3.1431

---

Entry 3:
3
Lattice="4.9840 0.0000 0.0000 2.4920 4.3163 0.0000 2.4920 1.4388 4.0694" Properties=species:S:1:pos:R:3 comment="meta-GGA SCAN LaCrHg, single point on PBEsol structure" dos_ef_per_ev_cell=3.005 ef_mev_per_atom=341 vol_a3_per_fu=88 spacegroup=F-43m pbc="T T T"
Hg 4.9840 2.8775 2.0347
Cr 0.0000 0.0000 0.0000
La 2.4920 1.4388 1.0174